No. 1
# Pm2TiN | Alexandria | PBE | relaxed
# **Total moment**: 5.27 μB per cell
# **Energy relative to the elements, uncorrected**: -1.1 eV/f.u.
data_Pm2TiN
_chemical_formula_sum 'Pm6 Ti3 N3'
_symmetry_space_group_name_H-M 'R -3 m'
_symmetry_Int_Tables_number 166
_symmetry_space_group_name_Hall '-R 3 2"'
_cell_length_a 3.4480
_cell_length_b 3.4480
_cell_length_c 27.1229
_cell_angle_alpha 90.00
_cell_angle_beta 90.00
_cell_angle_gamma 120.00
loop_
_atom_site_label
_atom_site_type_symbol
_atom_site_fract_x
_atom_site_fract_y
_atom_site_fract_z
Pm1 Pm 0.0000 0.0000 0.1142
Ti1 Ti 0.0000 0.0000 0.0000
N1 N 0.0000 0.0000 0.5000



No. 2
# PmTiVN3 | Alexandria | PBE | relaxed
# **Total moment**: 0.00 μB per cell
# **Energy relative to the elements, uncorrected**: -8.1 eV/f.u.
data_PmTiVN3
_chemical_formula_sum 'Pm2 Ti2 V2 N6'
_symmetry_space_group_name_H-M 'P 1 21/m 1'
_symmetry_Int_Tables_number 11
_symmetry_space_group_name_Hall '-P 2yb'
_cell_length_a 5.4784
_cell_length_b 3.1635
_cell_length_c 8.0376
_cell_angle_alpha 90.00
_cell_angle_beta 102.45
_cell_angle_gamma 90.00
loop_
_atom_site_label
_atom_site_type_symbol
_atom_site_fract_x
_atom_site_fract_y
_atom_site_fract_z
Pm1 Pm 0.1456 0.2500 0.1960
Ti1 Ti 0.2697 0.7500 0.5522
V1 V 0.3802 0.2500 0.8655
N1 N 0.0720 0.2500 0.6513
N2 N 0.2717 0.7500 0.9813
N3 N 0.4661 0.7500 0.3480



No. 3
# Pm2TiWN5 | Alexandria | PBE | relaxed
# **Total moment**: 0.00 μB per cell
# **Energy relative to the elements, uncorrected**: -10.4 eV/f.u.
data_Pm2TiWN5
_chemical_formula_sum 'Pm8 Ti4 W4 N20'
_symmetry_space_group_name_H-M 'C m c 21'
_symmetry_Int_Tables_number 36
_symmetry_space_group_name_Hall 'C 2c -2'
_cell_length_a 3.3577
_cell_length_b 13.2901
_cell_length_c 10.4677
_cell_angle_alpha 90.00
_cell_angle_beta 90.00
_cell_angle_gamma 90.00
loop_
_atom_site_label
_atom_site_type_symbol
_atom_site_fract_x
_atom_site_fract_y
_atom_site_fract_z
Pm1 Pm 0.0000 0.1090 0.0000
Pm2 Pm 0.0000 0.1498 0.6131
Ti1 Ti 0.0000 0.2234 0.3347
W1 W 0.0000 0.4644 0.7707
N1 N 0.0000 0.0512 0.3615
N2 N 0.0000 0.2814 0.9625
N3 N 0.0000 0.3215 0.7017
N4 N 0.0000 0.3692 0.3178
N5 N 0.0000 0.4899 0.1010



No. 4
# PmYTiN3 | Alexandria | PBE | relaxed
# **Total moment**: 0.00 μB per cell
# **Energy relative to the elements, uncorrected**: -7.9 eV/f.u.
data_PmYTiN3
_chemical_formula_sum 'Pm2 Y2 Ti2 N6'
_symmetry_space_group_name_H-M 'P 1 21/m 1'
_symmetry_Int_Tables_number 11
_symmetry_space_group_name_Hall '-P 2yb'
_cell_length_a 7.2080
_cell_length_b 3.5606
_cell_length_c 7.7853
_cell_angle_alpha 90.00
_cell_angle_beta 98.33
_cell_angle_gamma 90.00
loop_
_atom_site_label
_atom_site_type_symbol
_atom_site_fract_x
_atom_site_fract_y
_atom_site_fract_z
Pm1 Pm 0.1683 0.2500 0.1648
Y1 Y 0.3676 0.7500 0.8419
Ti1 Ti 0.1003 0.2500 0.5992
N1 N 0.1090 0.2500 0.8498
N2 N 0.1715 0.7500 0.5242
N3 N 0.4010 0.7500 0.1389



No. 5
# PmY2TiN4 | Alexandria | PBE | relaxed
# **Total moment**: 0.00 μB per cell
# **Energy relative to the elements, uncorrected**: -11.6 eV/f.u.
data_PmY2TiN4
_chemical_formula_sum 'Pm4 Y8 Ti4 N16'
_symmetry_space_group_name_H-M 'C m c m'
_symmetry_Int_Tables_number 63
_symmetry_space_group_name_Hall '-C 2c 2'
_cell_length_a 3.4139
_cell_length_b 11.7756
_cell_length_c 11.9167
_cell_angle_alpha 90.00
_cell_angle_beta 90.00
_cell_angle_gamma 90.00
loop_
_atom_site_label
_atom_site_type_symbol
_atom_site_fract_x
_atom_site_fract_y
_atom_site_fract_z
Pm1 Pm 0.0000 0.0990 0.2500
Y1 Y 0.0000 0.3703 0.0393
Ti1 Ti 0.0000 0.1644 0.7500
N1 N 0.0000 0.0000 0.0000
N2 N 0.0000 0.2630 0.6251
N3 N 0.0000 0.4331 0.2500



No. 6
# PmZrTiN3 | Alexandria | PBE | relaxed
# **Total moment**: 0.00 μB per cell
# **Energy relative to the elements, uncorrected**: -7.8 eV/f.u.
data_PmZrTiN3
_chemical_formula_sum 'Pm2 Zr2 Ti2 N6'
_symmetry_space_group_name_H-M 'P 1 21/m 1'
_symmetry_Int_Tables_number 11
_symmetry_space_group_name_Hall '-P 2yb'
_cell_length_a 6.8564
_cell_length_b 3.4817
_cell_length_c 8.5878
_cell_angle_alpha 90.00
_cell_angle_beta 106.38
_cell_angle_gamma 90.00
loop_
_atom_site_label
_atom_site_type_symbol
_atom_site_fract_x
_atom_site_fract_y
_atom_site_fract_z
Pm1 Pm 0.1886 0.2500 0.1489
Zr1 Zr 0.3417 0.7500 0.8646
Ti1 Ti 0.0718 0.2500 0.6205
N1 N 0.0954 0.2500 0.8580
N2 N 0.1729 0.7500 0.5804
N3 N 0.4364 0.7500 0.1368



No. 7
# Pm7Tl3N2 | Alexandria | PBE | relaxed
# **Total moment**: 0.00 μB per cell
# **Energy relative to the elements, uncorrected**: -8.7 eV/f.u.
data_Pm7Tl3N2
_chemical_formula_sum 'Pm14 Tl6 N4'
_symmetry_space_group_name_H-M 'I 4/m m m'
_symmetry_Int_Tables_number 139
_symmetry_space_group_name_Hall '-I 4 2'
_cell_length_a 4.9548
_cell_length_b 4.9548
_cell_length_c 26.1041
_cell_angle_alpha 90.00
_cell_angle_beta 90.00
_cell_angle_gamma 90.00
loop_
_atom_site_label
_atom_site_type_symbol
_atom_site_fract_x
_atom_site_fract_y
_atom_site_fract_z
Pm1 Pm 0.0000 0.0000 0.0000
Pm2 Pm 0.0000 0.0000 0.1966
Pm3 Pm 0.0000 0.5000 0.0960
Tl1 Tl 0.0000 0.0000 0.3203
Tl2 Tl 0.0000 0.0000 0.5000
N1 N 0.0000 0.0000 0.0985



No. 8
# Pm9Tl3N2 | Alexandria | PBE | relaxed
# **Total moment**: 0.00 μB per cell
# **Energy relative to the elements, uncorrected**: -9.0 eV/f.u.
data_Pm9Tl3N2
_chemical_formula_sum 'Pm9 Tl3 N2'
_symmetry_space_group_name_H-M 'P -3 m 1'
_symmetry_Int_Tables_number 164
_symmetry_space_group_name_Hall '-P 3 2"'
_cell_length_a 7.0841
_cell_length_b 7.0841
_cell_length_c 8.6767
_cell_angle_alpha 90.00
_cell_angle_beta 90.00
_cell_angle_gamma 120.00
loop_
_atom_site_label
_atom_site_type_symbol
_atom_site_fract_x
_atom_site_fract_y
_atom_site_fract_z
Pm1 Pm 0.0000 0.5000 0.0000
Pm2 Pm 0.1705 0.3410 0.6719
Tl1 Tl 0.0000 0.0000 0.0000
Tl2 Tl 0.3333 0.6667 0.3334
N1 N 0.3333 0.6667 0.8313



No. 9
# PmTlN | Alexandria | PBE | relaxed
# **Total moment**: 0.00 μB per cell
# **Energy relative to the elements, uncorrected**: -1.5 eV/f.u.
data_PmTlN
_chemical_formula_sum 'Pm1 Tl1 N1'
_symmetry_space_group_name_H-M 'P 3 m 1'
_symmetry_Int_Tables_number 156
_symmetry_space_group_name_Hall 'P 3 -2"'
_cell_length_a 3.8291
_cell_length_b 3.8291
_cell_length_c 5.5779
_cell_angle_alpha 90.00
_cell_angle_beta 90.00
_cell_angle_gamma 120.00
loop_
_atom_site_label
_atom_site_type_symbol
_atom_site_fract_x
_atom_site_fract_y
_atom_site_fract_z
Pm1 Pm 0.0000 0.0000 0.0000
Tl1 Tl 0.6667 0.3333 0.5025
N1 N 0.3333 0.6667 0.8868



No. 10
# Pm7Tl3N2 | Alexandria | PBE | relaxed
# **Total moment**: 0.00 μB per cell
# **Energy relative to the elements, uncorrected**: -8.8 eV/f.u.
data_Pm7Tl3N2
_chemical_formula_sum 'Pm14 Tl6 N4'
_symmetry_space_group_name_H-M 'C m m m'
_symmetry_Int_Tables_number 65
_symmetry_space_group_name_Hall '-C 2 2'
_cell_length_a 5.0333
_cell_length_b 24.9908
_cell_length_c 4.9240
_cell_angle_alpha 90.00
_cell_angle_beta 90.00
_cell_angle_gamma 90.00
loop_
_atom_site_label
_atom_site_type_symbol
_atom_site_fract_x
_atom_site_fract_y
_atom_site_fract_z
Pm1 Pm 0.0000 0.0000 0.0000
Pm2 Pm 0.0000 0.0962 0.5000
Pm3 Pm 0.0000 0.1987 0.0000
Pm4 Pm 0.0000 0.3983 0.0000
Tl1 Tl 0.0000 0.3066 0.5000
Tl2 Tl 0.0000 0.5000 0.5000
N1 N 0.0000 0.1012 0.0000



No. 11
# Pm4TlN | Alexandria | PBE | relaxed
# **Total moment**: 0.00 μB per cell
# **Energy relative to the elements, uncorrected**: -3.4 eV/f.u.
data_Pm4TlN
_chemical_formula_sum 'Pm8 Tl2 N2'
_symmetry_space_group_name_H-M 'P -1'
_symmetry_Int_Tables_number 2
_symmetry_space_group_name_Hall '-P 1'
_cell_length_a 5.8766
_cell_length_b 7.3457
_cell_length_c 8.5320
_cell_angle_alpha 106.69
_cell_angle_beta 110.07
_cell_angle_gamma 90.03
loop_
_atom_site_label
_atom_site_type_symbol
_atom_site_fract_x
_atom_site_fract_y
_atom_site_fract_z
Pm1 Pm 0.0779 0.4231 0.2242
Pm2 Pm 0.1469 0.9230 0.2242
Pm3 Pm 0.2914 0.8042 0.6176
Pm4 Pm 0.3258 0.3041 0.6175
Tl1 Tl 0.4641 0.2500 0.0000
N1 N 0.0000 0.5000 0.5000
N2 N 0.5000 0.0000 0.5000



No. 12
# Pm5Tl2N2 | Alexandria | PBE | relaxed
# **Total moment**: 0.00 μB per cell
# **Energy relative to the elements, uncorrected**: -6.6 eV/f.u.
data_Pm5Tl2N2
_chemical_formula_sum 'Pm5 Tl2 N2'
_symmetry_space_group_name_H-M 'P 4/m m m'
_symmetry_Int_Tables_number 123
_symmetry_space_group_name_Hall '-P 4 2'
_cell_length_a 4.8860
_cell_length_b 4.8860
_cell_length_c 9.9169
_cell_angle_alpha 90.00
_cell_angle_beta 90.00
_cell_angle_gamma 90.00
loop_
_atom_site_label
_atom_site_type_symbol
_atom_site_fract_x
_atom_site_fract_y
_atom_site_fract_z
Pm1 Pm 0.0000 0.0000 0.0000
Pm2 Pm 0.0000 0.5000 0.2776
Tl1 Tl 0.5000 0.5000 0.0000
Tl2 Tl 0.5000 0.5000 0.5000
N1 N 0.0000 0.0000 0.2397